DFT (PBE) results for crystalline ScWCl3 at its relaxed geometry.

Lattice parameters (Å, degrees): 4.8079 4.8079 4.8079 90.00 90.00 90.00
Fractional coordinates of all 5 atoms:
1 W 0.0000 0.0000 0.0000
2 Sc 0.5000 0.5000 0.5000
3 Cl 0.0000 0.0000 0.5000
4 Cl 0.5000 0.0000 0.0000
5 Cl 0.0000 0.5000 0.0000

Computed properties:
Its space group is Pm-3m (221). Its energy above the most stable polymorph in this dataset is 29.45 kJ per mole of atoms. The uncorrected formation energy is 0.2970 eV/atom.